An optimized crystal structure of CeCdGa2Au4. Source: Alexandria, functional GGA-PBE.

Lattice parameters (Å, degrees): 4.510 4.510 9.676 76.52 76.52 60.00
Each line ends with the local moment (μB).
Fractional coordinates of all 8 atoms:
Ga (0.749, 0.749, 0.752)  0.00
Au (0.879, 0.879, 0.364)  0.00
Au (0.121, 0.121, 0.636)  0.00
Cd (0.500, 0.500, 0.500)  0.00
Ga (0.251, 0.251, 0.248)  0.00
Au (0.392, 0.392, 0.823)  0.00
Au (0.608, 0.608, 0.177)  0.00
Ce (0.000, 0.000, 0.000)  0.55

The energy of formation is -0.381 eV/atom. Its final energy is -3.632 eV per atom.

***

An optimized crystal structure of CsHg2GeSe4. Source: Alexandria, functional GGA-PBE.

Lattice parameters (Å, degrees): 7.115 7.094 7.094 81.41 59.90 59.90
Fractional coordinates of all 8 atoms:
Se (0.012, 0.827, 0.529)
Ge (0.000, 0.500, 0.500)
Hg (0.500, 0.289, 0.711)
Se (0.369, 0.173, 0.471)
Hg (0.500, 0.711, 0.289)
Se (0.631, 0.529, 0.827)
Cs (0.000, 0.000, 0.000)
Se (0.988, 0.471, 0.173)

The energy relative to the elements, uncorrected is -3.38 eV per formula unit. Its final energy is -2.925 eV per atom.

***

An optimized crystal structure of Pb3AuN. Source: Alexandria, functional GGA-PBE.

Lattice parameters (Å, degrees): 4.997 4.997 4.997 90.00 90.00 90.00
Fractional coordinates of all 5 atoms:
Pb (0.500, 0.000, 0.000)
Pb (0.000, 0.000, 0.500)
Pb (0.000, 0.500, 0.000)
Au (0.500, 0.500, 0.500)
N (0.000, 0.000, 0.000)

The energy relative to the elements, uncorrected is 2.61 eV per formula unit. The energy above the most stable polymorph in this dataset comes out at 1.22 eV/f.u. Its final energy is -4.023 eV per atom.

***

An optimized crystal structure of ReNiBr2. Source: Alexandria, functional GGA-PBE.

Lattice parameters (Å, degrees): 6.852 5.932 2.993 59.59 116.07 133.50
Each line ends with the local moment (μB).
Fractional coordinates of all 4 atoms:
Br (0.500, 0.000, 0.500)  0.01
Br (0.000, 0.000, 0.000)  0.01
Re (0.500, 0.500, 0.000)  0.02
Ni (0.000, 0.500, 0.500)  0.14

The energy relative to the elements, uncorrected is 4.45 eV per formula unit. The energy above the most stable polymorph in this dataset comes out at 3.13 eV/f.u. Its final energy is -4.281 eV per atom.

***

An optimized crystal structure of Be2VNi2. Source: Alexandria, functional GGA-PBE.

Lattice parameters (Å, degrees): 6.492 6.492 2.420 90.00 90.00 90.00
Fractional coordinates of all 10 atoms:
Be (0.164, 0.664, 0.500)
Ni (0.867, 0.633, 0.000)
Ni (0.133, 0.367, 0.000)
Be (0.664, 0.836, 0.500)
V (0.500, 0.500, 0.000)
V (0.000, 0.000, 0.000)
Ni (0.633, 0.133, 0.000)
Be (0.336, 0.164, 0.500)
Be (0.836, 0.336, 0.500)
Ni (0.367, 0.867, 0.000)

The energy of formation is -0.188 eV/atom. The energy above the most stable polymorph in this dataset comes out at 0.44 eV/f.u. Its final energy is -5.815 eV per atom.

***

An optimized crystal structure of Ac2PmAl4Au3. Source: Alexandria, functional GGA-PBE.

Lattice parameters (Å, degrees): 4.522 4.522 11.837 90.00 90.00 90.00
Fractional coordinates of all 10 atoms:
Al (0.500, 0.000, 0.667)
Al (0.000, 0.500, 0.333)
Au (0.000, 0.000, 0.500)
Au (0.000, 0.500, 0.116)
Au (0.500, 0.000, 0.884)
Ac (0.500, 0.000, 0.232)
Pm (0.500, 0.500, 0.500)
Al (0.000, 0.000, 0.000)
Ac (0.000, 0.500, 0.768)
Al (0.500, 0.500, 0.000)

The energy of formation is -0.588 eV/atom. Its final energy is -4.365 eV per atom.

***

An optimized crystal structure of Ta3AlRu. Source: Alexandria, functional GGA-PBE.

Lattice parameters (Å, degrees): 4.617 4.617 4.617 90.00 90.00 90.00
Fractional coordinates of all 5 atoms:
Ta (0.500, 0.000, 0.000)
Al (0.000, 0.000, 0.000)
Ta (0.000, 0.500, 0.000)
Ta (0.000, 0.000, 0.500)
Ru (0.500, 0.500, 0.500)

The energy of formation is 1.489 eV/atom. The energy above the most stable polymorph in this dataset comes out at 2.39 eV/f.u. Its final energy is -8.226 eV per atom.

***

An optimized crystal structure of UTiPbO6. Source: Alexandria, functional GGA-PBE.

Lattice parameters (Å, degrees): 5.499 5.499 10.605 90.00 90.00 120.00
Fractional coordinates of all 18 atoms:
U (0.333, 0.667, 0.750)
Pb (0.000, 0.000, 0.500)
U (0.667, 0.333, 0.250)
O (0.986, 0.617, 0.852)
O (0.617, 0.631, 0.148)
O (0.631, 0.014, 0.852)
Ti (0.667, 0.333, 0.750)
O (0.383, 0.014, 0.648)
O (0.617, 0.986, 0.352)
O (0.631, 0.617, 0.648)
O (0.986, 0.369, 0.648)
O (0.369, 0.986, 0.148)
O (0.369, 0.383, 0.352)
O (0.014, 0.383, 0.148)
O (0.383, 0.369, 0.852)
Pb (0.000, 0.000, 0.000)
O (0.014, 0.631, 0.352)
Ti (0.333, 0.667, 0.250)

The energy relative to the elements, uncorrected is -24.02 eV per formula unit. Its final energy is -8.518 eV per atom.

***

An optimized crystal structure of NaHoZr. Source: Alexandria, functional GGA-PBE.

Lattice parameters (Å, degrees): 5.179 5.179 7.196 90.00 90.01 60.00
Fractional coordinates of all 6 atoms:
Na (0.961, 0.314, 0.793)
Zr (0.962, 0.311, 0.291)
Ho (0.296, 0.644, 0.508)
Zr (0.629, 0.978, 0.290)
Ho (0.296, 0.645, 0.074)
Na (0.628, 0.980, 0.789)

The energy of formation is 0.206 eV/atom. The energy above the most stable polymorph in this dataset comes out at 0.34 eV/f.u. Its final energy is -4.609 eV per atom.

***

An optimized crystal structure of La3TmGe2. Source: Alexandria, functional GGA-PBE.

Lattice parameters (Å, degrees): 4.476 4.698 8.949 105.19 104.48 90.00
Each line ends with the local moment (μB).
Fractional coordinates of all 6 atoms:
Tm (0.000, 0.000, 0.000)  0.01
La (0.181, 0.681, 0.363)  0.11
La (0.819, 0.319, 0.637)  0.11
La (0.500, 0.500, 0.000)  0.02
Ge (0.370, 0.870, 0.740)  -0.01
Ge (0.630, 0.130, 0.260)  -0.01

The energy of formation is -0.619 eV/atom. Its final energy is -5.368 eV per atom.

***

An optimized crystal structure of Ba2NdP2Br2. Source: Alexandria, functional GGA-PBE.

Lattice parameters (Å, degrees): 5.485 5.485 9.235 107.28 107.28 90.00
Fractional coordinates of all 7 atoms:
P (0.500, 0.000, 0.000)
Ba (0.381, 0.381, 0.761)
Nd (0.000, 0.000, 0.000)
Br (0.816, 0.816, 0.632)
Ba (0.619, 0.619, 0.239)
P (0.000, 0.500, 0.000)
Br (0.184, 0.184, 0.368)

The energy relative to the elements, uncorrected is -10.05 eV per formula unit. Its final energy is -4.690 eV per atom.

***

An optimized crystal structure of ZrTi2Be. Source: Alexandria, functional GGA-PBE.

Lattice parameters (Å, degrees): 7.217 7.217 5.746 51.10 51.10 90.00
Fractional coordinates of all 8 atoms:
Zr (0.000, 0.000, 0.000)
Zr (0.750, 0.250, 0.500)
Be (0.250, 0.750, 0.500)
Ti (0.580, 0.125, 0.250)
Be (0.500, 0.500, 0.000)
Ti (0.875, 0.830, 0.750)
Ti (0.375, 0.420, 0.750)
Ti (0.170, 0.625, 0.250)

The energy of formation is 0.332 eV/atom. Its final energy is -6.684 eV per atom.

***

An optimized crystal structure of Co2AuSe. Source: Alexandria, functional GGA-PBE.

Lattice parameters (Å, degrees): 5.957 5.957 5.957 153.05 137.34 51.19
Each line ends with the local moment (μB).
Fractional coordinates of all 4 atoms:
Co (0.931, 0.931, 0.000)  1.92
Se (0.549, 0.549, 0.000)  0.05
Co (0.739, 0.239, 0.500)  1.52
Au (0.281, 0.781, 0.500)  0.05

The energy relative to the elements, uncorrected is 1.37 eV per formula unit. The energy above the most stable polymorph in this dataset comes out at 0.57 eV/f.u. Its final energy is -4.902 eV per atom.

***

An optimized crystal structure of MgCd4Hg8. Source: Alexandria, functional GGA-PBE.

Lattice parameters (Å, degrees): 3.161 10.378 10.490 92.29 81.33 81.24
Fractional coordinates of all 13 atoms:
Cd (0.180, 0.126, 0.514)
Hg (0.492, 0.294, 0.723)
Cd (0.806, 0.860, 0.528)
Hg (0.849, 0.044, 0.259)
Hg (0.108, 0.000, 0.785)
Hg (0.490, 0.711, 0.308)
Hg (0.924, 0.563, 0.589)
Hg (0.896, 0.196, 0.012)
Cd (0.288, 0.528, 0.897)
Mg (0.715, 0.759, 0.811)
Cd (0.697, 0.471, 0.136)
Hg (0.139, 0.362, 0.360)
Hg (0.062, 0.820, 0.056)

The energy of formation is 0.006 eV/atom. Its final energy is -0.584 eV per atom.

***

An optimized crystal structure of AcPrMgCu. Source: Alexandria, functional GGA-PBE.

Lattice parameters (Å, degrees): 5.480 5.480 5.480 60.00 60.00 60.00
Fractional coordinates of all 4 atoms:
Pr (0.500, 0.500, 0.500)
Ac (0.000, 0.000, 0.000)
Mg (0.750, 0.750, 0.750)
Cu (0.250, 0.250, 0.250)

The energy of formation is -0.001 eV/atom. Its final energy is -3.646 eV per atom.

***

An optimized crystal structure of Y4VTc2. Source: Alexandria, functional GGA-PBE.

Lattice parameters (Å, degrees): 5.424 5.424 7.532 68.89 68.89 90.00
Each line ends with the local moment (μB).
Fractional coordinates of all 7 atoms:
Y (0.000, 0.500, 0.000)  0.07
Y (0.793, 0.793, 0.415)  -0.02
Tc (0.592, 0.592, 0.816)  -0.14
Y (0.207, 0.207, 0.585)  -0.02
Y (0.500, 0.000, 0.000)  0.07
Tc (0.408, 0.408, 0.184)  -0.14
V (0.000, 0.000, 0.000)  1.67

The energy of formation is 0.750 eV/atom. Its final energy is -7.209 eV per atom.

***

An optimized crystal structure of Pm8Te4PtSe3. Source: Alexandria, functional GGA-PBE.

Lattice parameters (Å, degrees): 8.632 8.769 8.632 119.49 120.00 90.00
Fractional coordinates of all 16 atoms:
Te (0.000, 0.000, 0.500)
Pm (0.752, 0.721, 0.987)
Se (0.000, 0.500, 0.500)
Pm (0.765, 0.279, 0.013)
Te (0.000, 0.000, 0.000)
Pm (0.259, 0.277, 0.518)
Pm (0.235, 0.721, 0.470)
Se (0.500, 0.500, 0.000)
Se (0.500, 0.500, 0.500)
Pm (0.765, 0.279, 0.530)
Te (0.500, 0.000, 0.000)
Te (0.500, 0.000, 0.500)
Pm (0.741, 0.723, 0.482)
Pm (0.248, 0.279, 0.013)
Pt (0.000, 0.500, 0.000)
Pm (0.235, 0.721, 0.987)

The energy relative to the elements, uncorrected is -25.02 eV per formula unit. Its final energy is -5.755 eV per atom.

***

An optimized crystal structure of LaHo2Te. Source: Alexandria, functional GGA-PBE.

Lattice parameters (Å, degrees): 3.807 3.807 11.184 80.20 80.20 60.00
Fractional coordinates of all 4 atoms:
Ho (0.104, 0.104, 0.687)
Te (0.500, 0.500, 0.500)
Ho (0.896, 0.896, 0.313)
La (0.000, 0.000, 0.000)

The energy relative to the elements, uncorrected is -1.07 eV per formula unit. The energy above the most stable polymorph in this dataset comes out at 0.99 eV/f.u. Its final energy is -4.574 eV per atom.

***

An optimized crystal structure of ScZn2Ga2. Source: Alexandria, functional GGA-PBE.

Lattice parameters (Å, degrees): 7.489 7.489 3.145 90.00 90.00 90.00
Each line ends with the local moment (μB).
Fractional coordinates of all 10 atoms:
Ga (0.368, 0.868, 0.000)  0.00
Zn (0.168, 0.668, 0.500)  0.00
Sc (0.500, 0.500, 0.000)  0.27
Zn (0.668, 0.832, 0.500)  0.00
Zn (0.332, 0.168, 0.500)  0.00
Sc (0.000, 0.000, 0.000)  0.27
Ga (0.132, 0.368, 0.000)  0.00
Ga (0.868, 0.632, 0.000)  0.00
Ga (0.632, 0.132, 0.000)  0.00
Zn (0.832, 0.332, 0.500)  0.00

The energy of formation is -0.151 eV/atom. Its final energy is -3.138 eV per atom.

***

An optimized crystal structure of NdNpPtRh. Source: Alexandria, functional GGA-PBE.

Lattice parameters (Å, degrees): 4.973 4.973 4.973 60.00 60.00 60.00
Each line ends with the local moment (μB).
Fractional coordinates of all 4 atoms:
Pt (0.000, 0.000, 0.000)  -0.06
Np (0.750, 0.750, 0.750)  3.87
Rh (0.500, 0.500, 0.500)  -0.19
Nd (0.250, 0.250, 0.250)  0.14

The energy of formation is -0.514 eV/atom. Its final energy is -8.289 eV per atom.

***

An optimized crystal structure of Ta4CuW. Source: Alexandria, functional GGA-PBE.

Lattice parameters (Å, degrees): 5.364 5.364 5.364 60.00 60.00 60.00
Fractional coordinates of all 6 atoms:
Cu (0.000, 0.000, 0.000)
Ta (0.870, 0.377, 0.377)
W (0.750, 0.750, 0.750)
Ta (0.377, 0.870, 0.377)
Ta (0.377, 0.377, 0.870)
Ta (0.377, 0.377, 0.377)

The energy of formation is 0.621 eV/atom. Its final energy is -10.123 eV per atom.

***

An optimized crystal structure of PmAsPd4. Source: Alexandria, functional GGA-PBE.

Lattice parameters (Å, degrees): 4.123 7.076 7.517 90.00 90.00 90.00
Fractional coordinates of all 12 atoms:
Pd (0.500, 0.697, 0.446)
Pm (0.000, 0.639, 0.750)
Pd (0.500, 0.939, 0.750)
Pd (0.000, 0.000, 0.000)
As (0.000, 0.226, 0.750)
Pd (0.500, 0.303, 0.946)
As (0.000, 0.774, 0.250)
Pd (0.000, 0.000, 0.500)
Pd (0.500, 0.061, 0.250)
Pd (0.500, 0.697, 0.054)
Pm (0.000, 0.361, 0.250)
Pd (0.500, 0.303, 0.554)

The energy of formation is -0.627 eV/atom. The energy above the most stable polymorph in this dataset comes out at 0.00 eV/f.u. Its final energy is -5.655 eV per atom.

***

An optimized crystal structure of CaTlZn. Source: Alexandria, functional GGA-PBE.

Lattice parameters (Å, degrees): 5.090 5.090 5.090 60.00 60.00 60.00
Fractional coordinates of all 3 atoms:
Tl (0.000, 0.000, 0.000)
Ca (0.750, 0.750, 0.750)
Zn (0.500, 0.500, 0.500)

The energy of formation is 0.171 eV/atom. Its final energy is -1.709 eV per atom.

***

An optimized crystal structure of Tb4TmAl. Source: Alexandria, functional GGA-PBE.

Lattice parameters (Å, degrees): 3.523 3.523 14.051 90.00 90.00 90.00
Fractional coordinates of all 6 atoms:
Tb (0.500, 0.500, 0.178)
Al (0.500, 0.500, 0.500)
Tb (0.000, 0.000, 0.637)
Tm (0.000, 0.000, 0.000)
Tb (0.500, 0.500, 0.822)
Tb (0.000, 0.000, 0.363)

The energy of formation is -0.116 eV/atom. The energy above the most stable polymorph in this dataset comes out at 0.00 eV/f.u. Its final energy is -4.572 eV per atom.

***

An optimized crystal structure of Nd2CuNi9. Source: Alexandria, functional GGA-PBE.

Lattice parameters (Å, degrees): 4.939 4.939 8.606 73.32 73.32 60.00
Each line ends with the local moment (μB).
Fractional coordinates of all 12 atoms:
Ni (0.920, 0.421, 0.238)  0.32
Ni (0.579, 0.579, 0.762)  0.32
Nd (0.133, 0.133, 0.601)  -0.06
Ni (0.579, 0.080, 0.762)  0.32
Ni (0.421, 0.421, 0.238)  0.32
Ni (0.333, 0.333, 0.002)  0.54
Cu (0.000, 0.000, 0.000)  0.01
Ni (0.080, 0.579, 0.762)  0.32
Nd (0.867, 0.867, 0.399)  -0.06
Ni (0.500, 0.500, 0.500)  0.15
Ni (0.667, 0.667, 0.998)  0.54
Ni (0.421, 0.920, 0.238)  0.32

The energy of formation is -0.075 eV/atom. Its final energy is -5.547 eV per atom.